GGA-PBE TlCuOs4, relaxed; formation energy = 1.03 eV/atom
1.0
3.217 -1.741 3.735
-1.775 -3.291 3.653
1.550 -4.993 -0.004
Tl Cu Os
1 1 4
Direct
0.750 0.750 0.750
0.000 0.000 0.000
0.876 0.375 0.375
0.375 0.375 0.876
0.375 0.876 0.375
0.375 0.375 0.375